# 1
## YPuMn2 (PBE)

Data for YPuMn2 after structural relaxation.

a b c (Å): 4.310 4.310 9.517
angles (deg): 90.00 90.00 120.00
Positions (direct):
Y (0.333, 0.667, 0.250)
Y (0.667, 0.333, 0.750)
Pu (0.000, 0.000, 0.000)
Pu (0.000, 0.000, 0.500)
Mn (0.333, 0.667, 0.563)
Mn (0.333, 0.667, 0.937)
Mn (0.667, 0.333, 0.063)
Mn (0.667, 0.333, 0.437)

Calculated values
Crystal system: hexagonal
Energy of formation from the pure elements in meV per atom: 3.1


# 2
## YPuMn (PBE)

Data for YPuMn after structural relaxation.

a b c (Å): 5.965 5.965 6.760
angles (deg): 103.48 103.48 30.45
Positions (direct):
Y (0.025, 0.025, 0.264)
Y (0.975, 0.975, 0.736)
Pu (0.247, 0.247, 0.866)
Pu (0.753, 0.753, 0.134)
Mn (0.312, 0.312, 0.433)
Mn (0.688, 0.688, 0.567)

Calculated values
Crystal system: monoclinic
Energy of formation from the pure elements in meV per atom: 278.4


# 3
## YPuMn2 (PBE)

Data for YPuMn2 after structural relaxation.

a b c (Å): 4.904 4.904 3.363
angles (deg): 90.00 90.00 90.00
Positions (direct):
Y (0.000, 0.000, 0.000)
Pu (0.500, 0.500, 0.000)
Mn (0.000, 0.500, 0.500)
Mn (0.500, 0.000, 0.500)

Calculated values
Crystal system: tetragonal
Energy of formation from the pure elements in meV per atom: 141.0


# 4
## YPu2Mn (PBE)

Data for YPu2Mn after structural relaxation.

a b c (Å): 3.324 3.324 8.754
angles (deg): 90.00 90.00 90.00
Positions (direct):
Y (0.000, 0.000, 0.000)
Pu (0.500, 0.500, 0.307)
Pu (0.500, 0.500, 0.693)
Mn (0.000, 0.000, 0.500)

Calculated values
Crystal system: tetragonal
Energy of formation from the pure elements in meV per atom: 148.5


# 5
## YPuMnZn (PBE)

Data for YPuMnZn after structural relaxation.

a b c (Å): 4.986 4.986 4.986
angles (deg): 60.00 60.00 60.00
Positions (direct):
Y (0.000, 0.000, 0.000)
Pu (0.500, 0.500, 0.500)
Mn (0.250, 0.250, 0.250)
Zn (0.750, 0.750, 0.750)

Calculated values
Crystal system: cubic
Energy of formation from the pure elements in meV per atom: 19.7


# 6
## PuMn4Zn (PBE)

Data for PuMn4Zn after structural relaxation.

a b c (Å): 4.895 4.895 4.895
angles (deg): 60.00 60.00 60.00
Positions (direct):
Pu (0.000, 0.000, 0.000)
Mn (0.128, 0.624, 0.624)
Mn (0.624, 0.128, 0.624)
Mn (0.624, 0.624, 0.128)
Mn (0.624, 0.624, 0.624)
Zn (0.250, 0.250, 0.250)

Calculated values
Crystal system: cubic
Energy of formation from the pure elements in meV per atom: 242.6


# 7
## Pu2Mn2Zn15 (PBE)

Data for Pu2Mn2Zn15 after structural relaxation.

a b c (Å): 6.818 6.818 6.818
angles (deg): 82.31 82.31 82.31
Positions (direct):
Pu (0.161, 0.161, 0.161)
Pu (0.839, 0.839, 0.839)
Mn (0.400, 0.400, 0.400)
Mn (0.600, 0.600, 0.600)
Zn (0.000, 0.500, 0.500)
Zn (0.146, 0.146, 0.651)
Zn (0.146, 0.651, 0.146)
Zn (0.213, 0.500, 0.787)
Zn (0.213, 0.787, 0.500)
Zn (0.349, 0.854, 0.854)
Zn (0.500, 0.000, 0.500)
Zn (0.500, 0.213, 0.787)
Zn (0.500, 0.500, 0.000)
Zn (0.500, 0.787, 0.213)
Zn (0.651, 0.146, 0.146)
Zn (0.787, 0.213, 0.500)
Zn (0.787, 0.500, 0.213)
Zn (0.854, 0.349, 0.854)
Zn (0.854, 0.854, 0.349)

Calculated values
Crystal system: trigonal
Energy of formation from the pure elements in meV per atom: -70.0


# 8
## PuMnZn17 (PBE)

Data for PuMnZn17 after structural relaxation.

a b c (Å): 6.760 6.760 6.760
angles (deg): 82.34 82.34 82.34
Positions (direct):
Pu (0.000, 0.000, 0.000)
Mn (0.658, 0.658, 0.658)
Zn (0.034, 0.343, 0.635)
Zn (0.034, 0.635, 0.343)
Zn (0.204, 0.687, 0.687)
Zn (0.243, 0.243, 0.243)
Zn (0.321, 0.321, 0.853)
Zn (0.321, 0.853, 0.321)
Zn (0.343, 0.034, 0.635)
Zn (0.343, 0.635, 0.034)
Zn (0.444, 0.444, 0.444)
Zn (0.522, 0.969, 0.969)
Zn (0.635, 0.034, 0.343)
Zn (0.635, 0.343, 0.034)
Zn (0.687, 0.204, 0.687)
Zn (0.687, 0.687, 0.204)
Zn (0.853, 0.321, 0.321)
Zn (0.969, 0.522, 0.969)
Zn (0.969, 0.969, 0.522)

Calculated values
Crystal system: trigonal
Energy of formation from the pure elements in meV per atom: -21.8


# 9
## PuMnZn2 (PBE)

Data for PuMnZn2 after structural relaxation.

a b c (Å): 9.965 9.965 9.965
angles (deg): 15.27 15.27 15.27
Positions (direct):
Pu (0.000, 0.000, 0.000)
Mn (0.500, 0.500, 0.500)
Zn (0.241, 0.241, 0.241)
Zn (0.759, 0.759, 0.759)

Calculated values
Crystal system: trigonal
Energy of formation from the pure elements in meV per atom: 191.4


# 10
## Pu3Mn2Zn (PBE)

Data for Pu3Mn2Zn after structural relaxation.

a b c (Å): 3.112 3.112 12.142
angles (deg): 90.00 90.00 90.00
Positions (direct):
Pu (0.000, 0.000, 0.000)
Pu (0.000, 0.000, 0.313)
Pu (0.000, 0.000, 0.687)
Mn (0.500, 0.500, 0.159)
Mn (0.500, 0.500, 0.841)
Zn (0.500, 0.500, 0.500)

Calculated values
Crystal system: tetragonal
Energy of formation from the pure elements in meV per atom: 31.9


# 11
## PuMnZn2 (PBE)

Data for PuMnZn2 after structural relaxation.

a b c (Å): 2.572 2.572 8.845
angles (deg): 90.00 90.00 90.00
Positions (direct):
Pu (0.000, 0.000, 0.000)
Mn (0.000, 0.000, 0.500)
Zn (0.500, 0.500, 0.283)
Zn (0.500, 0.500, 0.717)

Calculated values
Crystal system: tetragonal
Energy of formation from the pure elements in meV per atom: 168.7


# 12
## Pu8Mn5Zn (PBE)

Data for Pu8Mn5Zn after structural relaxation.

a b c (Å): 7.202 7.202 7.202
angles (deg): 109.32 109.32 109.78
Positions (direct):
Pu (0.005, 0.115, 0.748)
Pu (0.224, 0.486, 0.587)
Pu (0.362, 0.776, 0.262)
Pu (0.367, 0.257, 0.252)
Pu (0.514, 0.101, 0.738)
Pu (0.743, 0.995, 0.110)
Pu (0.885, 0.633, 0.890)
Pu (0.899, 0.638, 0.413)
Mn (0.110, 0.012, 0.395)
Mn (0.285, 0.890, 0.902)
Mn (0.617, 0.715, 0.605)
Mn (0.750, 0.250, 0.500)
Mn (0.988, 0.383, 0.098)
Zn (0.500, 0.500, 0.000)

Calculated values
Crystal system: tetragonal
Energy of formation from the pure elements in meV per atom: 169.7


# 13
## PuZr2Mn (PBE)

Data for PuZr2Mn after structural relaxation.

a b c (Å): 4.848 4.848 4.848
angles (deg): 60.00 60.00 60.00
Positions (direct):
Pu (0.000, 0.000, 0.000)
Zr (0.250, 0.250, 0.250)
Zr (0.750, 0.750, 0.750)
Mn (0.500, 0.500, 0.500)

Calculated values
Crystal system: cubic
Energy of formation from the pure elements in meV per atom: 180.0


# 14
## PuZrMn (PBE)

Data for PuZrMn after structural relaxation.

a b c (Å): 5.554 5.554 5.554
angles (deg): 144.62 144.62 50.90
Positions (direct):
Pu (0.000, 0.000, 0.000)
Zr (0.304, 0.304, 0.000)
Mn (0.624, 0.624, 0.000)

Calculated values
Crystal system: tetragonal
Energy of formation from the pure elements in meV per atom: 98.1